CrFeW4 (PBE, optimized geometry); calculated formation energy = 64 kJ per mole of atoms; N(E_F) = 0.743 states/eV per atom; SG = F-43m, No. 216; size of the total moment = 5.2 μB per cell; total energy = -0.4037 hartree per atom
1.0
0.000 3.689 3.689
3.689 0.000 3.689
3.689 3.689 0.000
Cr Fe W
1 1 4
direct
0.000 0.000 0.000
0.750 0.750 0.750
0.375 0.375 0.375
0.375 0.375 0.874
0.375 0.874 0.375
0.874 0.375 0.375


Cr2Fe2W (PBE, optimized geometry); calculated formation energy = 19 kJ per mole of atoms; N(E_F) = 1.416 states/eV per atom; SG = P4/mbm, No. 127; size of the total moment = 0.0 μB per cell; relative energy among the computed polymorphs = 0 meV per atom; total energy = -0.3539 hartree per atom
1.0
6.793 0.000 0.000
0.000 6.793 0.000
0.000 0.000 2.623
Cr Fe W
4 4 2
direct
0.166 0.334 0.000
0.334 0.834 0.000
0.666 0.166 0.000
0.834 0.666 0.000
0.130 0.630 0.500
0.370 0.130 0.500
0.630 0.870 0.500
0.870 0.370 0.500
0.000 0.000 0.500
0.500 0.500 0.500


CrFe2W (PBE, optimized geometry); calculated formation energy = 11 kJ per mole of atoms; N(E_F) = 0.944 states/eV per atom; SG = Pmmm, No. 47; size of the total moment = 4.0 μB per cell; relative energy among the computed polymorphs = 8 meV per atom; total energy = -0.3587 hartree per atom
1.0
3.028 0.000 0.000
0.000 4.055 0.000
0.000 0.000 4.116
Cr Fe W
1 2 1
direct
0.000 0.000 0.000
0.000 0.500 0.500
0.500 0.000 0.500
0.500 0.500 0.000


Cr2FeW (PBE, optimized geometry); calculated formation energy = 15 kJ per mole of atoms; N(E_F) = 1.146 states/eV per atom; SG = C2/m, No. 12; size of the total moment = 2.3 μB per cell; relative energy among the computed polymorphs = 37 meV per atom; total energy = -0.3677 hartree per atom
1.0
2.540 -4.191 0.000
2.540 4.191 0.000
-0.866 0.000 2.411
Cr Fe W
2 1 1
direct
0.000 0.500 0.000
0.500 0.000 0.000
0.000 0.000 0.500
0.500 0.500 0.500